VASP calculation (PBE-GGA) on Te7O6F30 after structural relaxation.

Properties
N(E_F)	0.00	states/eV/atom
space-group type	No. 2
total moment	0.00	μB/cell
DFT total energy	-4.300	eV per atom

The structure in POSCAR format:
```
Te7O6F30
1.0
-2.632 0.427 -8.803
1.303 -7.228 -5.547
-8.917 -5.628 -2.420
F Te O
30 7 6
Direct
0.903 0.251 0.635 F
0.265 0.251 0.858 F
0.210 0.907 0.634 F
0.483 0.093 0.338 F
0.373 0.460 0.359 F
0.362 0.466 0.119 F
0.250 0.212 0.634 F
0.907 0.915 0.663 F
0.735 0.751 0.142 F
0.096 0.750 0.365 F
0.517 0.909 0.662 F
0.373 0.735 0.142 F
0.192 0.629 0.640 F
0.540 0.194 0.641 F
0.054 0.363 0.119 F
0.626 0.267 0.859 F
0.750 0.373 0.142 F
0.638 0.537 0.881 F
0.535 0.948 0.881 F
0.627 0.541 0.641 F
0.808 0.373 0.360 F
0.913 0.518 0.662 F
0.465 0.055 0.119 F
0.750 0.789 0.366 F
0.093 0.087 0.338 F
0.946 0.639 0.881 F
0.087 0.483 0.337 F
0.460 0.808 0.359 F
0.250 0.629 0.857 F
0.789 0.096 0.366 F
0.772 0.391 0.761 Te
0.228 0.611 0.239 Te
0.922 0.228 0.239 Te
0.000 0.001 0.000 Te
0.389 0.080 0.761 Te
0.611 0.922 0.240 Te
0.078 0.774 0.761 Te
0.241 0.950 0.883 O
0.074 0.760 0.116 O
0.051 0.075 0.116 O
0.949 0.927 0.884 O
0.926 0.242 0.884 O
0.759 0.051 0.117 O
```



VASP calculation (PBE-GGA) on ReAs2Au after structural relaxation.

Properties
N(E_F)	0.65	states/eV/atom
E_form	0.4024	eV per atom
space-group type	No. 122
total moment	0.00	μB/cell
DFT total energy	-5.854	eV per atom

The structure in POSCAR format:
```
ReAs2Au
1.0
5.848 0.000 0.000
0.000 5.848 0.000
2.924 2.924 5.478
As Re Au
4 2 2
Direct
0.375 0.403 0.750 As
0.153 0.625 0.250 As
0.875 0.847 0.750 As
0.597 0.125 0.250 As
0.500 0.500 0.000 Re
0.250 0.750 0.500 Re
0.750 0.250 0.500 Au
0.000 0.000 0.000 Au
```



VASP calculation (PBE-GGA) on GdRhAu4 after structural relaxation.

Properties
N(E_F)	0.35	states/eV/atom
E_form	-0.3096	eV per atom
space-group type	No. 216
total moment	6.98	μB/cell
DFT total energy	-6.067	eV per atom

The structure in POSCAR format:
```
GdRhAu4
1.0
-0.887 2.491 4.812
-4.906 -0.397 2.434
-0.562 -2.985 4.574
Au Rh Gd
4 1 1
Direct
0.625 0.625 0.625 Au
0.126 0.625 0.625 Au
0.625 0.625 0.126 Au
0.625 0.126 0.625 Au
0.250 0.250 0.250 Rh
0.000 0.000 0.000 Gd
```



VASP calculation (PBE-GGA) on LiAl2As after structural relaxation.

Properties
N(E_F)	0.36	states/eV/atom
E_form	-0.1474	eV per atom
space-group type	No. 71
total moment	0.00	μB/cell
DFT total energy	-3.659	eV per atom

The structure in POSCAR format:
```
LiAl2As
1.0
-2.476 -4.361 3.461
2.601 -5.053 2.197
-0.223 6.062 -0.570
Al As Li
2 1 1
Direct
0.956 0.956 0.000 Al
0.544 0.544 0.000 Al
0.750 0.250 0.500 As
0.250 0.750 0.500 Li
```



VASP calculation (PBE-GGA) on SrRh2 after structural relaxation.

Properties
N(E_F)	1.62	states/eV/atom
E_form	0.1203	eV per atom
space-group type	No. 123
total moment	0.89	μB/cell
DFT total energy	-5.341	eV per atom

The structure in POSCAR format:
```
SrRh2
1.0
-2.041 -3.040 -0.310
1.337 -1.223 3.197
-3.812 2.306 2.475
Rh Sr
2 1
Direct
0.000 0.500 0.500 Rh
0.500 0.000 0.500 Rh
0.000 0.000 0.000 Sr
```



VASP calculation (PBE-GGA) on La2Nd4Tm5 after structural relaxation.

Properties
N(E_F)	1.40	states/eV/atom
E_form	0.0771	eV per atom
space-group type	No. 12
total moment	0.00	μB/cell
DFT total energy	-4.585	eV per atom

The structure in POSCAR format:
```
La2Nd4Tm5
1.0
-2.881 1.706 -1.173
-6.458 -5.072 8.480
3.625 6.187 5.461
Tm Nd La
5 4 2
Direct
0.823 0.936 0.646 Tm
0.177 0.064 0.354 Tm
0.500 0.000 0.000 Tm
0.094 0.542 0.187 Tm
0.906 0.458 0.813 Tm
0.966 0.746 0.931 Nd
0.034 0.254 0.069 Nd
0.359 0.201 0.718 Nd
0.641 0.799 0.282 Nd
0.286 0.651 0.573 La
0.714 0.349 0.427 La
```



VASP calculation (PBE-GGA) on PdC2Br after structural relaxation.

Properties
N(E_F)	0.42	states/eV/atom
space-group type	No. 122
total moment	0.00	μB/cell
DFT total energy	-4.389	eV per atom

The structure in POSCAR format:
```
PdC2Br
1.0
5.195 0.000 0.000
0.000 5.195 0.000
2.598 2.598 5.073
C Br Pd
4 2 2
Direct
0.717 0.125 0.250 C
0.033 0.625 0.250 C
0.875 0.967 0.750 C
0.375 0.283 0.750 C
0.250 0.750 0.500 Br
0.500 0.500 0.000 Br
0.000 0.000 0.000 Pd
0.750 0.250 0.500 Pd
```



VASP calculation (PBE-GGA) on GdZr2Rh after structural relaxation.

Properties
N(E_F)	1.39	states/eV/atom
E_form	-0.1165	eV per atom
space-group type	No. 225
total moment	7.95	μB/cell
DFT total energy	-9.749	eV per atom

The structure in POSCAR format:
```
GdZr2Rh
1.0
-1.391 -4.687 0.046
2.918 -3.397 1.962
-1.237 -2.142 4.223
Gd Zr Rh
1 2 1
Direct
0.500 0.500 0.500 Gd
0.250 0.250 0.249 Zr
0.750 0.750 0.751 Zr
0.000 0.000 0.000 Rh
```